[1]
First-principles (PBE) data for a geometry-optimized PIrAuS2 structure, as listed in the Alexandria database.

Geometry as CIF:
```
data_PIrAuS2
_chemical_formula_sum 'P1 Ir1 Au1 S2'
_symmetry_space_group_name_H-M 'P 1'
_symmetry_Int_Tables_number 1
_cell_length_a 4.813
_cell_length_b 4.813
_cell_length_c 4.421
_cell_angle_alpha 90.00
_cell_angle_beta 90.00
_cell_angle_gamma 90.00
loop_
_symmetry_equiv_pos_as_xyz
'x,y,z'
loop_
_atom_site_label
_atom_site_type_symbol
_atom_site_fract_x
_atom_site_fract_y
_atom_site_fract_z
S1 S 0.500 0.000 0.000
S2 S 0.000 0.500 0.000
Au1 Au 0.500 0.500 0.500
P1 P 0.000 0.000 0.500
Ir1 Ir 0.000 0.000 0.000
```

Computed properties:
- Energy relative to the elements, uncorrected: 0.781 eV/atom
- Polymorph energy (0 for the lowest one): 0 meV/atom


[2]
First-principles (PBE) data for a geometry-optimized La2InSi structure, as listed in the Alexandria database.

Geometry as CIF:
```
data_La2InSi
_chemical_formula_sum 'La2 In1 Si1'
_symmetry_space_group_name_H-M 'P 1'
_symmetry_Int_Tables_number 1
_cell_length_a 3.729
_cell_length_b 5.238
_cell_length_c 6.432
_cell_angle_alpha 90.00
_cell_angle_beta 90.00
_cell_angle_gamma 90.00
loop_
_symmetry_equiv_pos_as_xyz
'x,y,z'
loop_
_atom_site_label
_atom_site_type_symbol
_atom_site_fract_x
_atom_site_fract_y
_atom_site_fract_z
In1 In 0.500 0.500 0.875
La1 La 0.500 0.500 0.375
La2 La 0.000 0.000 0.875
Si1 Si 0.000 0.000 0.375
```

Computed properties:
- Energy relative to the elements, uncorrected: -0.265 eV/atom


[3]
First-principles (PBE) data for a geometry-optimized Ba2Sn3Bi2 structure, as listed in the Alexandria database.

Geometry as CIF:
```
data_Ba2Sn3Bi2
_chemical_formula_sum 'Ba2 Sn3 Bi2'
_symmetry_space_group_name_H-M 'P 1'
_symmetry_Int_Tables_number 1
_cell_length_a 5.341
_cell_length_b 6.793
_cell_length_c 7.694
_cell_angle_alpha 101.59
_cell_angle_beta 90.00
_cell_angle_gamma 113.15
loop_
_symmetry_equiv_pos_as_xyz
'x,y,z'
loop_
_atom_site_label
_atom_site_type_symbol
_atom_site_fract_x
_atom_site_fract_y
_atom_site_fract_z
Sn1 Sn 0.398 0.795 0.570
Sn2 Sn 0.602 0.205 0.430
Sn3 Sn 0.500 0.000 0.000
Bi1 Bi 0.137 0.275 0.240
Bi2 Bi 0.863 0.725 0.760
Ba1 Ba 0.150 0.300 0.769
Ba2 Ba 0.850 0.700 0.231
```

Computed properties:
- Energy relative to the elements: -3.3 eV per formula unit


[4]
First-principles (PBE) data for a geometry-optimized BePd structure, as listed in the Alexandria database.

Geometry as CIF:
```
data_BePd
_chemical_formula_sum 'Be2 Pd2'
_symmetry_space_group_name_H-M 'P 1'
_symmetry_Int_Tables_number 1
_cell_length_a 3.860
_cell_length_b 3.860
_cell_length_c 4.507
_cell_angle_alpha 90.00
_cell_angle_beta 90.00
_cell_angle_gamma 120.00
loop_
_symmetry_equiv_pos_as_xyz
'x,y,z'
loop_
_atom_site_label
_atom_site_type_symbol
_atom_site_fract_x
_atom_site_fract_y
_atom_site_fract_z
Be1 Be 0.333 0.667 0.250
Be2 Be 0.667 0.333 0.750
Pd1 Pd 0.667 0.333 0.250
Pd2 Pd 0.333 0.667 0.750
```

Computed properties:
- Energy relative to the elements: -0.1 eV per formula unit


[5]
First-principles (PBE) data for a geometry-optimized Cr2InAg structure, as listed in the Alexandria database.

Geometry as CIF:
```
data_Cr2InAg
_chemical_formula_sum 'Cr4 In2 Ag2'
_symmetry_space_group_name_H-M 'P 1'
_symmetry_Int_Tables_number 1
_cell_length_a 7.256
_cell_length_b 7.256
_cell_length_c 5.755
_cell_angle_alpha 50.92
_cell_angle_beta 50.92
_cell_angle_gamma 90.00
loop_
_symmetry_equiv_pos_as_xyz
'x,y,z'
loop_
_atom_site_label
_atom_site_type_symbol
_atom_site_fract_x
_atom_site_fract_y
_atom_site_fract_z
Cr1 Cr 0.620 0.125 0.250
Cr2 Cr 0.875 0.870 0.750
Cr3 Cr 0.375 0.380 0.750
Cr4 Cr 0.130 0.625 0.250
Ag1 Ag 0.250 0.750 0.500
Ag2 Ag 0.500 0.500 0.000
In1 In 0.750 0.250 0.500
In2 In 0.000 0.000 0.000
```

Computed properties:
- Energy relative to the elements: 4.7 eV per formula unit


[6]
First-principles (PBE) data for a geometry-optimized Sc2PdO4 structure, as listed in the Alexandria database.

Geometry as CIF:
```
data_Sc2PdO4
_chemical_formula_sum 'Sc4 Pd2 O8'
_symmetry_space_group_name_H-M 'P 1'
_symmetry_Int_Tables_number 1
_cell_length_a 6.381
_cell_length_b 6.381
_cell_length_c 6.396
_cell_angle_alpha 59.88
_cell_angle_beta 59.88
_cell_angle_gamma 89.67
loop_
_symmetry_equiv_pos_as_xyz
'x,y,z'
loop_
_atom_site_label
_atom_site_type_symbol
_atom_site_fract_x
_atom_site_fract_y
_atom_site_fract_z
O1 O 0.295 0.767 0.469
O2 O 0.735 0.764 0.469
O3 O 0.265 0.236 0.531
O4 O 0.736 0.765 0.031
O5 O 0.733 0.205 0.031
O6 O 0.264 0.235 0.969
O7 O 0.267 0.795 0.969
O8 O 0.705 0.233 0.531
Pd1 Pd 0.125 0.375 0.250
Pd2 Pd 0.875 0.625 0.750
Sc1 Sc 0.000 0.000 0.000
Sc2 Sc 0.500 0.500 0.500
Sc3 Sc 0.500 0.000 0.500
Sc4 Sc 0.500 0.000 0.000
```

Computed properties:
- Energy relative to the elements, uncorrected: -2.362 eV/atom


[7]
First-principles (PBE) data for a geometry-optimized PrPd6Pb structure, as listed in the Alexandria database.

Geometry as CIF:
```
data_PrPd6Pb
_chemical_formula_sum 'Pr1 Pd6 Pb1'
_symmetry_space_group_name_H-M 'P 1'
_symmetry_Int_Tables_number 1
_cell_length_a 5.498
_cell_length_b 5.498
_cell_length_c 7.847
_cell_angle_alpha 69.49
_cell_angle_beta 69.49
_cell_angle_gamma 60.00
loop_
_symmetry_equiv_pos_as_xyz
'x,y,z'
loop_
_atom_site_label
_atom_site_type_symbol
_atom_site_fract_x
_atom_site_fract_y
_atom_site_fract_z
Pd1 Pd 0.442 0.933 0.692
Pd2 Pd 0.067 0.558 0.308
Pd3 Pd 0.933 0.442 0.692
Pd4 Pd 0.933 0.933 0.692
Pd5 Pd 0.558 0.067 0.308
Pd6 Pd 0.067 0.067 0.308
Pr1 Pr 0.500 0.500 0.500
Pb1 Pb 0.000 0.000 0.000
```

Computed properties:
- Polymorph energy (0 for the lowest one): 329 meV/atom
- Energy relative to the elements: -1.4 eV per formula unit


[8]
First-principles (PBE) data for a geometry-optimized Zr2B2Pb structure, as listed in the Alexandria database.

Geometry as CIF:
```
data_Zr2B2Pb
_chemical_formula_sum 'Zr4 B4 Pb2'
_symmetry_space_group_name_H-M 'P 1'
_symmetry_Int_Tables_number 1
_cell_length_a 6.558
_cell_length_b 6.558
_cell_length_c 3.659
_cell_angle_alpha 90.00
_cell_angle_beta 90.00
_cell_angle_gamma 90.00
loop_
_symmetry_equiv_pos_as_xyz
'x,y,z'
loop_
_atom_site_label
_atom_site_type_symbol
_atom_site_fract_x
_atom_site_fract_y
_atom_site_fract_z
Zr1 Zr 0.825 0.325 0.500
Zr2 Zr 0.675 0.825 0.500
Zr3 Zr 0.325 0.175 0.500
Zr4 Zr 0.175 0.675 0.500
B1 B 0.590 0.090 0.000
B2 B 0.910 0.590 0.000
B3 B 0.410 0.910 0.000
B4 B 0.090 0.410 0.000
Pb1 Pb 0.000 0.000 0.000
Pb2 Pb 0.500 0.500 0.000
```

Computed properties:
- Polymorph energy (0 for the lowest one): 0 meV/atom
- Energy relative to the elements: -0.8 eV per formula unit